## i
{"formula": "Cu2S3F", "functional": "PBE", "state": "relaxed", "spacegroup": "No. 6", "lattice_angstrom": [[4.623, 0.000, 0.000], [0.000, 3.637, 0.000], [-0.584, 0.000, 5.721]], "species": ["Cu", "Cu", "S", "S", "S", "F"], "frac_coords": [[0.919, 0.500, 0.021], [0.522, 0.000, 0.461], [0.843, 0.500, 0.610], [0.674, 0.000, 0.093], [0.188, 0.500, 0.401], [0.354, 0.000, 0.913]]}



## ii
{"formula": "Cu2S3F", "functional": "PBE", "state": "relaxed", "spacegroup": "No. 6", "lattice_angstrom": [[5.220, 0.000, 0.000], [0.000, 3.428, 0.000], [-0.177, 0.000, 5.241]], "species": ["F", "Cu", "Cu", "S", "S", "S"], "frac_coords": [[0.184, 0.000, 0.187], [0.020, 0.500, 0.020], [0.485, 0.000, 0.485], [0.691, 0.500, 0.306], [0.811, 0.000, 0.808], [0.309, 0.500, 0.695]]}



Relative calculated energies, zero for the most stable structure, unit meV/atom: i 0; ii 150.